Entry 1:
Entry from Alexandria via LeMat-Bulk: DyY3Tl3Te8 after structural relaxation (GGA-PBE).

Computed properties:
Calculated volume: 36.51 A^3/atom
N(E_F): 0.39 states/eV/atom
Total moment: 0.0 μB per cell
Uncorrected formation energy: -1.0646 eV/atom

Cell: 8.798 8.798 9.632 Å, 117.25 117.25 59.91°
Fractional coordinates of all 15 atoms:
Dy 0.000 0.000 0.000
Y 0.000 0.500 0.000
Y 0.500 0.000 0.000
Y 0.500 0.500 0.000
Tl 0.000 0.000 0.500
Tl 0.000 0.500 0.500
Tl 0.500 0.000 0.500
Te 0.239 0.239 0.216
Te 0.239 0.737 0.216
Te 0.261 0.261 0.784
Te 0.263 0.761 0.784
Te 0.737 0.239 0.216
Te 0.739 0.739 0.216
Te 0.761 0.263 0.784
Te 0.761 0.761 0.784

***

Entry 2:
Entry from Alexandria via LeMat-Bulk: DyTlZnTe3 after structural relaxation (GGA-PBE).

Computed properties:
Calculated volume: 34.22 A^3/atom
Total moment: 0.0 μB per cell
Uncorrected formation energy: -0.8223 eV/atom

Cell: 9.615 4.370 10.251 Å, 90.00 107.54 90.00°
Fractional coordinates of all 12 atoms:
Dy 0.174 0.250 0.141
Dy 0.826 0.750 0.859
Tl 0.291 0.750 0.776
Tl 0.709 0.250 0.224
Zn 0.416 0.750 0.396
Zn 0.584 0.250 0.604
Te 0.040 0.250 0.830
Te 0.288 0.250 0.469
Te 0.399 0.750 0.131
Te 0.601 0.250 0.869
Te 0.712 0.750 0.531
Te 0.960 0.750 0.170

***

Entry 3:
Entry from Alexandria via LeMat-Bulk: Dy3Tl3ZnTe8 after structural relaxation (GGA-PBE).

Computed properties:
Calculated volume: 35.77 A^3/atom
N(E_F): 0.68 states/eV/atom
Total moment: 0.0 μB per cell
Uncorrected formation energy: -0.7683 eV/atom

Cell: 8.674 8.674 9.549 Å, 116.54 116.54 60.83°
Fractional coordinates of all 15 atoms:
Dy 0.000 0.000 0.000
Dy 0.000 0.500 0.000
Dy 0.500 0.000 0.000
Tl 0.000 0.500 0.500
Tl 0.500 0.000 0.500
Tl 0.500 0.500 0.500
Zn 0.500 0.500 0.000
Te 0.228 0.745 0.218
Te 0.240 0.240 0.218
Te 0.255 0.772 0.782
Te 0.291 0.291 0.809
Te 0.709 0.709 0.191
Te 0.745 0.228 0.218
Te 0.760 0.760 0.782
Te 0.772 0.255 0.782

***

Entry 4:
Entry from Alexandria via LeMat-Bulk: Dy3ZrTl3Te8 after structural relaxation (GGA-PBE).

Computed properties:
Calculated volume: 36.28 A^3/atom
Total moment: 0.0 μB per cell
Uncorrected formation energy: -1.0048 eV/atom

Cell: 9.703 9.703 9.703 Å, 53.28 53.28 53.28°
Fractional coordinates of all 15 atoms:
Dy 0.000 0.500 0.500
Dy 0.500 0.000 0.500
Dy 0.500 0.500 0.000
Zr 0.000 0.000 0.000
Tl 0.000 0.000 0.500
Tl 0.000 0.500 0.000
Tl 0.500 0.000 0.000
Te 0.230 0.230 0.749
Te 0.230 0.749 0.230
Te 0.251 0.770 0.770
Te 0.262 0.262 0.262
Te 0.738 0.738 0.738
Te 0.749 0.230 0.230
Te 0.770 0.251 0.770
Te 0.770 0.770 0.251

***

> The lowest uncorrected formation energy belongs to which entry?

DyY3Tl3Te8